No. 1
Tl3Sn5Br12 | PBE | optimized geometry

```
Tl3Sn5Br12
1.0
-9.351 9.351 9.351
9.351 -9.351 9.351
9.351 9.351 -9.351
Tl Sn Br
12 20 48
direct
0.125 0.250 0.375
0.125 0.375 0.750
0.250 0.375 0.125
0.250 0.875 0.625
0.375 0.125 0.250
0.375 0.750 0.125
0.625 0.250 0.875
0.625 0.875 0.750
0.750 0.125 0.375
0.750 0.625 0.875
0.875 0.625 0.250
0.875 0.750 0.625
0.000 0.000 0.000
0.000 0.000 0.500
0.000 0.500 0.000
0.000 0.500 0.500
0.125 0.750 0.875
0.125 0.875 0.250
0.250 0.125 0.875
0.250 0.625 0.375
0.375 0.250 0.625
0.375 0.625 0.750
0.500 0.000 0.000
0.500 0.000 0.500
0.500 0.500 0.000
0.500 0.500 0.500
0.625 0.375 0.250
0.625 0.750 0.375
0.750 0.375 0.625
0.750 0.875 0.125
0.875 0.125 0.750
0.875 0.250 0.125
0.035 0.209 0.120
0.035 0.326 0.915
0.085 0.620 0.410
0.085 0.965 0.674
0.090 0.709 0.674
0.090 0.880 0.415
0.120 0.035 0.209
0.120 0.585 0.910
0.174 0.209 0.590
0.174 0.465 0.585
0.209 0.120 0.035
0.209 0.590 0.174
0.291 0.326 0.910
0.291 0.465 0.380
0.326 0.910 0.291
0.326 0.915 0.035
0.380 0.291 0.465
0.380 0.590 0.915
0.410 0.085 0.620
0.410 0.826 0.791
0.415 0.090 0.880
0.415 0.826 0.535
0.465 0.380 0.291
0.465 0.585 0.174
0.535 0.415 0.826
0.535 0.620 0.709
0.585 0.174 0.465
0.585 0.910 0.120
0.590 0.174 0.209
0.590 0.915 0.380
0.620 0.410 0.085
0.620 0.709 0.535
0.674 0.085 0.965
0.674 0.090 0.709
0.709 0.535 0.620
0.709 0.674 0.090
0.791 0.410 0.826
0.791 0.880 0.965
0.826 0.535 0.415
0.826 0.791 0.410
0.880 0.415 0.090
0.880 0.965 0.791
0.910 0.120 0.585
0.910 0.291 0.326
0.915 0.035 0.326
0.915 0.380 0.590
0.965 0.674 0.085
0.965 0.791 0.880
```

Calculated values
Raw total energy ... -3.022 eV/atom
Formation energy without anion corrections ... -63.95 kJ per mole of atoms

***

No. 2
SrLa2Pt | PBE | optimized geometry

```
SrLa2Pt
1.0
4.177 0.000 0.000
0.000 10.041 0.000
-2.087 0.000 6.465
Sr La Pt
2 4 2
direct
0.075 0.250 0.150
0.925 0.750 0.850
0.355 0.066 0.709
0.355 0.434 0.709
0.645 0.566 0.291
0.645 0.934 0.291
0.222 0.750 0.444
0.778 0.250 0.556
```

Calculated values
Energy relative to the elements ... -0.548 eV per atom
Raw total energy ... -4.942 eV/atom
Relative energy among the computed polymorphs ... 0.026 eV/atom

***

No. 3
ScTa2Hg | PBE | optimized geometry

```
ScTa2Hg
1.0
3.332 0.000 0.000
0.000 4.652 0.000
0.000 0.000 5.042
Sc Ta Hg
1 2 1
direct
0.000 0.000 0.000
0.000 0.500 0.500
0.500 0.000 0.500
0.500 0.500 0.000
```

Calculated values
Energy relative to the elements ... 0.141 eV per atom
Raw total energy ... -7.444 eV/atom

***

No. 4
LiCeMg2Ag4 | PBE | optimized geometry

```
LiCeMg2Ag4
1.0
2.383 1.376 8.340
-2.383 1.376 8.340
0.000 -2.752 8.340
Li Ce Mg Ag
1 1 2 4
direct
0.000 0.000 0.000
0.500 0.500 0.500
0.256 0.256 0.256
0.744 0.744 0.744
0.104 0.104 0.104
0.371 0.371 0.371
0.629 0.629 0.629
0.896 0.896 0.896
```

Calculated values
Energy relative to the elements ... -0.177 eV per atom
Raw total energy ... -2.982 eV/atom

***

No. 5
Tb4Pr2Ho5 | PBE | optimized geometry

```
Tb4Pr2Ho5
1.0
11.947 -1.733 0.000
11.947 1.733 0.000
-1.010 0.000 8.689
Tb Pr Ho
4 2 5
direct
0.046 0.046 0.360
0.322 0.322 0.527
0.678 0.678 0.473
0.954 0.954 0.640
0.092 0.092 0.743
0.908 0.908 0.257
0.142 0.142 0.122
0.234 0.234 0.827
0.500 0.500 0.000
0.766 0.766 0.173
0.858 0.858 0.878
```

Calculated values
Energy relative to the elements ... 0.150 eV per atom
Raw total energy ... -4.483 eV/atom
Relative energy among the computed polymorphs ... 0.000 eV/atom

***

No. 6
PbCl2 | PBE | optimized geometry

```
PbCl2
1.0
3.675 0.000 0.000
0.000 3.675 0.000
0.000 0.000 13.057
Pb Cl
2 4
direct
0.000 0.000 0.000
0.500 0.500 0.500
0.000 0.000 0.375
0.000 0.000 0.625
0.500 0.500 0.125
0.500 0.500 0.875
```

Calculated values
Raw total energy ... -3.458 eV/atom
Formation energy without anion corrections ... -95.63 kJ per mole of atoms